DFT (PBE) results for an optimized crystal structure of ScPRu2.

Geometry as POSCAR:
```
ScPRu2
1.0
-1.832 1.832 4.286
1.832 -1.832 4.286
1.832 1.832 -4.286
Sc P Ru
1 1 2
Cartesian
0.000 0.000 0.000
1.832 0.000 2.143
0.000 0.000 4.286
0.000 1.832 2.143
```

D(E_F): 0.51 states/eV/atom
Density: 8.0 g cm⁻³
ΔH_f (0 K): -1.7 eV per formula unit
Final energy: -8.00 eV per atom